1.
## NpAuS (PBE)

Data for an optimized crystal structure of NpAuS.

Space-group type ... No. 107
Offset from the most stable computed form ... 49 meV per atom
Uncorrected energy ... -7.3630 eV/atom

The structure in POSCAR format:
```
NpAuS
1.0
-1.7443 1.7443 5.3272
1.7443 -1.7443 5.3272
1.7443 1.7443 -5.3272
Np Au S
1 1 1
Direct
0.0000 0.0000 0.0000 Np
0.3199 0.3199 0.0000 Au
0.6213 0.6213 0.0000 S
```

2.
## DySeI (PBE)

Data for an optimized crystal structure of DySeI.

Space-group type ... No. 11
Uncorrected energy ... -4.9049 eV/atom

The structure in POSCAR format:
```
DySeI
1.0
4.2378 0.0000 0.0000
0.0000 5.6546 0.0000
-1.1930 0.0000 10.4170
Dy Se I
2 2 2
Direct
0.2186 0.2500 0.3889 Dy
0.7814 0.7500 0.6111 Dy
0.2292 0.7500 0.4252 Se
0.7708 0.2500 0.5748 Se
0.3408 0.7500 0.8221 I
0.6592 0.2500 0.1779 I
```

3.
## Si2TcMo (PBE)

Data for an optimized crystal structure of Si2TcMo.

Space-group type ... No. 38
Offset from the most stable computed form ... 37 meV per atom
Uncorrected energy ... -8.4230 eV/atom

The structure in POSCAR format:
```
Si2TcMo
1.0
4.0800 0.0000 0.0000
0.0000 1.5479 4.4043
0.0000 -1.5479 4.4043
Si Tc Mo
2 1 1
Direct
0.0000 0.0000 0.0000 Si
0.5000 0.1760 0.1760 Si
0.0000 0.7228 0.7228 Tc
0.5000 0.4508 0.4508 Mo
```

4.
## BeSi2Ru2 (PBE)

Data for an optimized crystal structure of BeSi2Ru2.

Space-group type ... No. 127
Offset from the most stable computed form ... 42 meV per atom
Uncorrected energy ... -6.9209 eV/atom

The structure in POSCAR format:
```
BeSi2Ru2
1.0
6.7686 0.0000 0.0000
0.0000 6.7686 0.0000
0.0000 0.0000 2.8427
Be Si Ru
2 4 4
Direct
0.0000 0.0000 0.0000 Be
0.5000 0.5000 0.0000 Be
0.1396 0.3604 0.0000 Si
0.3604 0.8604 0.0000 Si
0.6396 0.1396 0.0000 Si
0.8604 0.6396 0.0000 Si
0.1581 0.6581 0.5000 Ru
0.3419 0.1581 0.5000 Ru
0.6581 0.8419 0.5000 Ru
0.8419 0.3419 0.5000 Ru
```

5.
## PuNpSeN2 (PBE)

Data for an optimized crystal structure of PuNpSeN2.

Space-group type ... No. 107
Uncorrected energy ... -10.8259 eV/atom

The structure in POSCAR format:
```
PuNpSeN2
1.0
-1.8987 1.8987 6.0170
1.8987 -1.8987 6.0170
1.8987 1.8987 -6.0170
Pu Np Se N
1 1 1 2
Direct
0.0000 0.0000 0.0000 Pu
0.3076 0.3076 0.0000 Np
0.6527 0.6527 0.0000 Se
0.3985 0.8985 0.5000 N
0.8985 0.3985 0.5000 N
```

6.
## YCo3Si (PBE)

Data for an optimized crystal structure of YCo3Si.

Space-group type ... No. 221
Offset from the most stable computed form ... 2136 meV per atom
Uncorrected energy ... -4.7960 eV/atom

The structure in POSCAR format:
```
YCo3Si
1.0
4.6037 0.0000 0.0000
0.0000 4.6037 0.0000
0.0000 0.0000 4.6037
Y Co Si
1 3 1
Direct
0.0000 0.0000 0.0000 Y
0.0000 0.0000 0.5000 Co
0.0000 0.5000 0.0000 Co
0.5000 0.0000 0.0000 Co
0.5000 0.5000 0.5000 Si
```

| no. | formation energy (no corrections) (eV/atom) |
| --- | --- |
| 1 | -0.58 |
| 2 | -1.69 |
| 3 | -0.41 |
| 4 | -0.30 |
| 5 | -1.34 |
| 6 | 1.84 |